Density functional theory data (PBE+U) for an optimized crystal structure of CdNiP4O12.

Magnetization = 1.91 μB per formula unit
E = -240.24 eV per cell
Density = 3.5 g/cm3
Symmetry = No. 15

Cell: 7.469 7.469 9.953 Å, 112.19 112.19 71.06°
Positions (direct):
Cd1 0.049 0.951 0.750
Cd2 0.951 0.049 0.250
Ni1 0.000 0.500 0.500
Ni2 0.500 0.000 0.000
P1 0.270 0.720 0.027
P2 0.280 0.730 0.473
P3 0.308 0.311 0.803
P4 0.311 0.308 0.303
P5 0.689 0.692 0.697
P6 0.692 0.689 0.197
P7 0.720 0.270 0.527
P8 0.730 0.280 0.973
O1 0.090 0.819 0.078
O2 0.127 0.297 0.330
O3 0.181 0.910 0.422
O4 0.187 0.348 0.656
O5 0.198 0.686 0.573
O6 0.257 0.492 0.945
O7 0.297 0.127 0.830
O8 0.297 0.538 0.328
O9 0.314 0.802 0.927
O10 0.348 0.187 0.156
O11 0.462 0.703 0.172
O12 0.492 0.257 0.445
O13 0.508 0.743 0.555
O14 0.538 0.297 0.828
O15 0.652 0.813 0.844
O16 0.686 0.198 0.073
O17 0.703 0.462 0.672
O18 0.703 0.873 0.170
O19 0.743 0.508 0.055
O20 0.802 0.314 0.427
O21 0.813 0.652 0.344
O22 0.819 0.090 0.578
O23 0.873 0.703 0.670
O24 0.910 0.181 0.922